A relaxed structure of SnOs3W, computed with PBE-GGA.

N(E_F)	1.43	states/eV per atom
uncorrected energy	-8.0922	eV per atom
energy above the lowest structure with this stoichiometry	0	meV/atom
energy relative to the elements	2.04	eV per atom

Cell and atoms, written as CIF:
```
data_SnOs3W
_cell_length_a 4.761
_cell_length_b 4.761
_cell_length_c 4.761
_cell_angle_alpha 90.00
_cell_angle_beta 90.00
_cell_angle_gamma 90.00
_symmetry_space_group_name_H-M 'P m -3 m'
_symmetry_Int_Tables_number 221
_symmetry_space_group_name_Hall '-P 4 2 3'
loop_
_atom_site_label
_atom_site_fract_x
_atom_site_fract_y
_atom_site_fract_z
_atom_site_occupancy
Sn1 0.000 0.000 0.000 1
Os1 0.000 0.500 0.500 1
W1 0.500 0.500 0.500 1
```